one:
Material: Dy4Y4Er3
Method: DFT, PBE
State: optimized geometry

Structure (CIF):
```
data_Dy4Y4Er3
_space_group_name_H-M_alt 'I m m m'
_space_group_IT_number 71
_space_group_name_Hall '-I 2 2'
_cell_length_a 3.525
_cell_length_b 11.202
_cell_length_c 18.179
_cell_angle_alpha 90.00
_cell_angle_beta 90.00
_cell_angle_gamma 90.00
loop_
_atom_site_label
_atom_site_type_symbol
_atom_site_fract_x
_atom_site_fract_y
_atom_site_fract_z
Dy1 Dy 0.000 0.242 0.170
Y1 Y 0.000 0.293 0.000
Y2 Y 0.000 0.500 0.278
Er1 Er 0.000 0.000 0.392
Er2 Er 0.000 0.500 0.500
```

Computed properties:
As for the density of states at the Fermi level: 1.4553 states/eV/atom. As for the magnetic moment: 0.00 μB/cell.



two:
Material: Dy4Y4Er3
Method: DFT, PBE
State: optimized geometry

Structure (CIF):
```
data_Dy4Y4Er3
_space_group_name_H-M_alt 'P -1'
_space_group_IT_number 2
_space_group_name_Hall '-P 1'
_cell_length_a 3.511
_cell_length_b 5.579
_cell_length_c 18.002
_cell_angle_alpha 81.12
_cell_angle_beta 84.41
_cell_angle_gamma 90.00
loop_
_atom_site_label
_atom_site_type_symbol
_atom_site_fract_x
_atom_site_fract_y
_atom_site_fract_z
Dy1 Dy 0.045 0.045 0.409
Dy2 Dy 0.179 0.680 0.140
Y1 Y 0.090 0.590 0.320
Y2 Y 0.233 0.233 0.035
Er1 Er 0.364 0.864 0.773
Er2 Er 0.500 0.500 0.500
```

Computed properties:
As for the density of states at the Fermi level: 1.9395 states/eV/atom. As for the magnetic moment: 0.00 μB/cell.



Most stable structure, least stable structure: two, one.



one:
Material: DyY4Er3
Method: DFT, PBE
State: optimized geometry

Structure (CIF):
```
data_DyY4Er3
_space_group_name_H-M_alt 'C m m m'
_space_group_IT_number 65
_space_group_name_Hall '-C 2 2'
_cell_length_a 5.590
_cell_length_b 26.168
_cell_length_c 3.556
_cell_angle_alpha 90.00
_cell_angle_beta 90.00
_cell_angle_gamma 90.00
loop_
_atom_site_label
_atom_site_type_symbol
_atom_site_fract_x
_atom_site_fract_y
_atom_site_fract_z
Dy1 Dy 0.000 0.000 0.000
Y1 Y 0.000 0.103 0.500
Y2 Y 0.000 0.223 0.500
Er1 Er 0.000 0.344 0.000
Er2 Er 0.000 0.500 0.500
```

Computed properties:
As for the density of states at the Fermi level: 1.4970 states/eV/atom. As for the magnetic moment: 0.00 μB/cell.



two:
Material: DyY4Er3
Method: DFT, PBE
State: optimized geometry

Structure (CIF):
```
data_DyY4Er3
_space_group_name_H-M_alt 'P m n 21'
_space_group_IT_number 31
_space_group_name_Hall 'P 2ac -2'
_cell_length_a 11.213
_cell_length_b 7.257
_cell_length_c 6.271
_cell_angle_alpha 90.00
_cell_angle_beta 90.00
_cell_angle_gamma 90.00
loop_
_atom_site_label
_atom_site_type_symbol
_atom_site_fract_x
_atom_site_fract_y
_atom_site_fract_z
Dy1 Dy 0.000 0.123 0.000
Y1 Y 0.000 0.373 0.497
Y2 Y 0.000 0.627 0.996
Y3 Y 0.249 0.627 0.333
Er1 Er 0.000 0.877 0.499
Er2 Er 0.250 0.123 0.330
```

Computed properties:
As for the density of states at the Fermi level: 1.7610 states/eV/atom. As for the magnetic moment: 0.00 μB/cell.



Most stable structure, least stable structure: two, one.